No. 1
The following is a PBE-GGA calculation of a geometry-optimized Be3BiPt structure, from the Alexandria database.

As for the calculated formation energy: 0.199 eV per atom. For the total energy, the calculation gives -20.1 eV/cell. The calculation puts the energy above the most stable polymorph in this dataset at 0.000 eV/f.u. The crystal system is cubic.

The space group is Pm-3m (No. 221) and the conventional cell measures 4.3854, 4.3854 and 4.3854 Å, with angles of 90.00, 90.00 and 90.00 degrees. The inequivalent atoms are Be at (0.0000, 0.0000, 0.5000), Bi at (0.5000, 0.5000, 0.5000) and Pt at (0.0000, 0.0000, 0.0000).

No. 2
The following is a PBE-GGA calculation of a geometry-optimized BeBiPt2 structure, from the Alexandria database.

As for the calculated formation energy: -0.056 eV per atom. For the total energy, the calculation gives -79.7 eV/cell. The calculation puts the energy above the most stable polymorph in this dataset at 0.000 eV/f.u. The crystal system is tetragonal.

The space group is I-42d (No. 122) and the conventional cell measures 4.9412, 4.9412 and 13.5797 Å, with angles of 90.00, 90.00 and 90.00 degrees. The inequivalent atoms are Be at (0.0000, 0.0000, 0.0000), Bi at (0.0000, 0.0000, 0.5000) and Pt at (0.1343, 0.2500, 0.1250).

No. 3
The following is a PBE-GGA calculation of a geometry-optimized BeBiPt2 structure, from the Alexandria database.

As for the calculated formation energy: 0.044 eV per atom. For the total energy, the calculation gives -78.1 eV/cell. The calculation puts the energy above the most stable polymorph in this dataset at 0.399 eV/f.u. The crystal system is cubic.

The space group is Fm-3m (No. 225) and the conventional cell measures 6.5157, 6.5157 and 6.5157 Å, with angles of 90.00, 90.00 and 90.00 degrees. The inequivalent atoms are Be at (0.0000, 0.0000, 0.0000), Bi at (0.0000, 0.0000, 0.5000) and Pt at (0.2500, 0.2500, 0.2500).

No. 4
The following is a PBE-GGA calculation of a geometry-optimized Be3BiPt structure, from the Alexandria database.

As for the calculated formation energy: 1.520 eV per atom. For the total energy, the calculation gives -13.5 eV/cell. The calculation puts the energy above the most stable polymorph in this dataset at 6.602 eV/f.u. The crystal system is cubic.

The space group is Pm-3m (No. 221) and the conventional cell measures 4.6056, 4.6056 and 4.6056 Å, with angles of 90.00, 90.00 and 90.00 degrees. The inequivalent atoms are Be at (0.0000, 0.0000, 0.5000), Bi at (0.0000, 0.0000, 0.0000) and Pt at (0.5000, 0.5000, 0.5000).

No. 5
The following is a PBE-GGA calculation of a geometry-optimized RbBeBiPt2 structure, from the Alexandria database.

As for the calculated formation energy: 0.239 eV per atom. For the total energy, the calculation gives -19.5 eV/cell. The crystal system is tetragonal.

The space group is P4/mmm (No. 123) and the conventional cell measures 4.6342, 4.6342 and 5.0748 Å, with angles of 90.00, 90.00 and 90.00 degrees. The inequivalent atoms are Rb at (0.0000, 0.0000, 0.0000), Be at (0.5000, 0.5000, 0.5000), Bi at (0.5000, 0.5000, 0.0000) and Pt at (0.0000, 0.5000, 0.5000).

No. 6
The following is a PBE-GGA calculation of a geometry-optimized Rb2BeBi structure, from the Alexandria database.

As for the calculated formation energy: 0.561 eV per atom. For the total energy, the calculation gives -29.2 eV/cell. The calculation puts the energy above the most stable polymorph in this dataset at 1.458 eV/f.u. The crystal system is cubic.

The space group is Fm-3m (No. 225) and the conventional cell measures 8.6350, 8.6350 and 8.6350 Å, with angles of 90.00, 90.00 and 90.00 degrees. The inequivalent atoms are Rb at (0.2500, 0.2500, 0.2500), Be at (0.0000, 0.0000, 0.0000) and Bi at (0.0000, 0.0000, 0.5000).

No. 7
The following is a PBE-GGA calculation of a geometry-optimized RbBe3Bi structure, from the Alexandria database.

As for the calculated formation energy: 1.247 eV per atom. For the total energy, the calculation gives -9.8 eV/cell. The calculation puts the energy above the most stable polymorph in this dataset at 0.000 eV/f.u. The crystal system is cubic.

The space group is Pm-3m (No. 221) and the conventional cell measures 5.2581, 5.2581 and 5.2581 Å, with angles of 90.00, 90.00 and 90.00 degrees. The inequivalent atoms are Rb at (0.0000, 0.0000, 0.0000), Be at (0.0000, 0.5000, 0.5000) and Bi at (0.5000, 0.5000, 0.5000).

No. 8
The following is a PBE-GGA calculation of a geometry-optimized RbBe2Bi2 structure, from the Alexandria database.

As for the calculated formation energy: 0.059 eV per atom. For the total energy, the calculation gives -31.8 eV/cell. The crystal system is tetragonal.

The space group is I4/mmm (No. 139) and the conventional cell measures 3.9835, 3.9835 and 17.2341 Å, with angles of 90.00, 90.00 and 90.00 degrees. The inequivalent atoms are Rb at (0.0000, 0.0000, 0.0000), Be at (0.0000, 0.5000, 0.2500) and Bi at (0.0000, 0.0000, 0.3478).